CsLiC2I | PBE | relaxed

Properties
The calculation puts the density of states at the Fermi level at 0.145 states/eV/atom. As for the energy relative to the elements, uncorrected: 2.29 eV per atom. Its spin magnetization is 5.00 μB per formula unit.

```
data_CsLiC2I
_chemical_formula_sum 'Cs1 Li1 C2 I1'
_space_group_name_H-M_alt 'P 4/m m m'
_space_group_IT_number 123
_space_group_name_Hall '-P 4 2'
_cell_length_a 5.281
_cell_length_b 5.281
_cell_length_c 12.439
_cell_angle_alpha 90.00
_cell_angle_beta 90.00
_cell_angle_gamma 90.00
loop_
_atom_site_label
_atom_site_fract_x
_atom_site_fract_y
_atom_site_fract_z
Cs1 0.000 0.000 0.000
Li1 0.000 0.000 0.500
C1 0.000 0.500 0.000
I1 0.500 0.500 0.500
```



SmGeB | PBE | relaxed

Properties
The calculation puts the density of states at the Fermi level at 0.133 states/eV/atom. The energy above the most stable polymorph in this dataset comes out at 0.000 eV per atom. Its spin magnetization is 0.00 μB per formula unit. As for the formation energy: -0.480 eV per atom.

```
data_SmGeB
_chemical_formula_sum 'Sm1 Ge1 B1'
_space_group_name_H-M_alt 'P 3 m 1'
_space_group_IT_number 156
_space_group_name_Hall 'P 3 -2"'
_cell_length_a 3.6698
_cell_length_b 3.6698
_cell_length_c 4.3060
_cell_angle_alpha 90.00
_cell_angle_beta 90.00
_cell_angle_gamma 120.00
loop_
_atom_site_label
_atom_site_fract_x
_atom_site_fract_y
_atom_site_fract_z
Sm1 0.0000 0.0000 0.0000
Ge1 0.6667 0.3333 0.5028
B1 0.3333 0.6667 0.4890
```